This record from Alexandria via LeMat-Bulk describes crystalline ZnNiN2O at its relaxed geometry. The functional is PBE with a Hubbard U.

Computed properties:
D(E_F), states/eV per atom: 0.379
Electronic total energy, eV per atom: -3.920
Space group: No. 123
Total moment, μB per formula unit: 3.110

a = 3.6817 Å, b = 3.6817 Å, c = 3.9052 Å
α = 90.00°, β = 90.00°, γ = 90.00°
Site moments in Bohr magnetons follow the coordinates.
Fractional coordinates of all 5 atoms:
N 0.5000 0.0000 0.0000  0.68
Ni 0.0000 0.0000 0.0000  1.06
O 0.0000 0.0000 0.5000  0.22
Zn 0.5000 0.5000 0.5000  -0.04
N 0.0000 0.5000 0.0000  0.68